## A
This record from Alexandria via LeMat-Bulk describes crystalline SmY6In3 at its relaxed geometry. The functional is PBE.

Computed properties:
The density of states at the Fermi level is 25.18 states/eV/cell. The symmetry is No. 36.

Cell lengths 7.821, 9.189, 9.189 Å; angles 105.18, 90.00, 90.00 degrees
Atoms (fractional coordinates):
Sm (0.104, 0.216, 0.784)
Sm (0.604, 0.784, 0.216)
Y (0.120, 0.723, 0.657)
Y (0.620, 0.657, 0.723)
Y (0.303, 0.564, 0.941)
Y (0.803, 0.941, 0.564)
Y (0.251, 0.967, 0.033)
Y (0.600, 0.269, 0.731)
Y (0.100, 0.731, 0.269)
Y (0.751, 0.033, 0.967)
Y (0.303, 0.059, 0.436)
Y (0.803, 0.436, 0.059)
Y (0.120, 0.343, 0.277)
Y (0.620, 0.277, 0.343)
In (0.431, 0.953, 0.716)
In (0.931, 0.716, 0.953)
In (0.322, 0.418, 0.582)
In (0.822, 0.582, 0.418)
In (0.931, 0.047, 0.284)
In (0.431, 0.284, 0.047)


## B
This record from Alexandria via LeMat-Bulk describes crystalline SmY6In3 at its relaxed geometry. The functional is PBE.

Computed properties:
The density of states at the Fermi level is 24.00 states/eV/cell. The symmetry is No. 11.

Cell lengths 5.215, 10.091, 11.353 Å; angles 100.45, 90.00, 90.00 degrees
Atoms (fractional coordinates):
Sm (0.250, 0.955, 0.594)
Sm (0.750, 0.045, 0.406)
Y (0.250, 0.445, 0.093)
Y (0.750, 0.555, 0.907)
Y (0.250, 0.138, 0.219)
Y (0.750, 0.862, 0.781)
Y (0.250, 0.641, 0.682)
Y (0.750, 0.359, 0.318)
Y (0.250, 0.278, 0.518)
Y (0.750, 0.722, 0.482)
Y (0.250, 0.811, 0.274)
Y (0.750, 0.189, 0.726)
Y (0.250, 0.085, 0.908)
Y (0.750, 0.915, 0.092)
In (0.250, 0.539, 0.386)
In (0.750, 0.461, 0.614)
In (0.250, 0.370, 0.807)
In (0.750, 0.630, 0.193)
In (0.250, 0.765, 0.963)
In (0.750, 0.235, 0.037)


Most stable structure, least stable structure: B, A.


## A
This record from Alexandria via LeMat-Bulk describes crystalline SmY4In2 at its relaxed geometry. The functional is PBE.

Computed properties:
The density of states at the Fermi level is 18.25 states/eV/cell. The symmetry is No. 14.

Cell lengths 10.736, 6.915, 7.203 Å; angles 125.26, 90.00, 90.00 degrees
Atoms (fractional coordinates):
Sm (0.000, 0.000, 0.000)
Sm (0.500, 0.500, 0.000)
Y (0.833, 0.495, 0.994)
Y (0.780, 0.495, 0.493)
Y (0.720, 0.995, 0.493)
Y (0.667, 0.995, 0.994)
Y (0.333, 0.005, 0.006)
Y (0.280, 0.005, 0.507)
Y (0.220, 0.505, 0.507)
Y (0.167, 0.505, 0.006)
In (0.999, 0.765, 0.452)
In (0.001, 0.235, 0.548)
In (0.499, 0.735, 0.548)
In (0.501, 0.265, 0.452)


## B
This record from Alexandria via LeMat-Bulk describes crystalline SmY4In2 at its relaxed geometry. The functional is PBE.

Computed properties:
The density of states at the Fermi level is 16.60 states/eV/cell. The symmetry is No. 11.

Cell lengths 8.367, 6.622, 8.505 Å; angles 90.00, 117.73, 90.00 degrees
Atoms (fractional coordinates):
Sm (0.252, 0.750, 0.326)
Sm (0.748, 0.250, 0.674)
Y (0.565, 0.496, 0.231)
Y (0.100, 0.750, 0.888)
Y (0.900, 0.250, 0.112)
Y (0.565, 0.004, 0.231)
Y (0.041, 0.250, 0.538)
Y (0.435, 0.996, 0.769)
Y (0.435, 0.504, 0.769)
Y (0.959, 0.750, 0.462)
In (0.804, 0.750, 0.038)
In (0.196, 0.250, 0.962)
In (0.330, 0.250, 0.393)
In (0.670, 0.750, 0.607)


Most stable structure, least stable structure: B, A.